Entry 1:
This record from the Alexandria database describes FeMoPt4 after structural relaxation. The functional is PBE.

Results
- excess energy over the best structure of this formula in the dataset (eV per atom) = 0.000
- E_form (eV/atom) = -0.276

Unit cell a=4.829 b=4.829 c=4.788 alpha=80.49 beta=80.49 gamma=120.74
Atoms (fractional coordinates):
Pt  0.835  0.665  0.001
Pt  0.660  0.841  0.501
Mo  0.498  0.003  0.001
Pt  0.161  0.340  0.001
Fe  0.998  0.503  0.501
Pt  0.337  0.164  0.501

---

Entry 2:
This record from the Alexandria database describes PrSm4Zn5 after structural relaxation. The functional is PBE.

Results
- E_form (eV/atom) = -0.313

Unit cell a=3.654 b=3.654 c=18.309 alpha=90.00 beta=90.00 gamma=90.00
Atoms (fractional coordinates):
Zn  0.500  0.500  0.895
Zn  0.500  0.500  0.699
Zn  0.500  0.500  0.500
Sm  0.000  0.000  0.401
Zn  0.500  0.500  0.105
Zn  0.500  0.500  0.301
Sm  0.000  0.000  0.599
Sm  0.000  0.000  0.797
Sm  0.000  0.000  0.203
Pr  0.000  0.000  0.000

---

Entry 3:
This record from the Alexandria database describes Dy12YCo6 after structural relaxation. The functional is PBE.

Results
- E_form (eV/atom) = -0.134

Unit cell a=8.456 b=8.456 c=8.456 alpha=109.47 beta=109.47 gamma=109.47
Atoms (fractional coordinates):
Dy  0.497  0.806  0.691
Dy  0.503  0.194  0.309
Dy  0.806  0.309  0.115
Co  0.613  0.500  0.113
Co  0.500  0.887  0.387
Co  0.500  0.113  0.613
Dy  0.691  0.885  0.194
Dy  0.194  0.309  0.503
Dy  0.309  0.503  0.194
Dy  0.194  0.691  0.885
Dy  0.806  0.691  0.497
Co  0.887  0.387  0.500
Dy  0.115  0.806  0.309
Co  0.387  0.500  0.887
Co  0.113  0.613  0.500
Dy  0.691  0.497  0.806
Dy  0.309  0.115  0.806
Y  0.000  0.000  0.000
Dy  0.885  0.194  0.691

---

Entry 4:
This record from the Alexandria database describes NaNbAg2 after structural relaxation. The functional is PBE.

Results
- excess energy over the best structure of this formula in the dataset (eV per atom) = 0.000
- E_form (eV/atom) = 0.541

Unit cell a=4.752 b=4.752 c=4.752 alpha=60.00 beta=60.00 gamma=60.00
Atoms (fractional coordinates):
Ag  0.250  0.250  0.250
Ag  0.750  0.750  0.750
Na  0.000  0.000  0.000
Nb  0.500  0.500  0.500